Entry 1:
Below is DyHo6Mg after structural relaxation, with properties calculated at the PBE level.

## Properties
total DFT energy (no corrections)	-4.169	eV per atom
ΔE_f	39	meV per atom
symmetry	C2/m (12)
energy relative to the lowest polymorph listed for this composition	0	meV/atom

POSCAR file:
```
DyHo6Mg
1.0
5.098 0.000 1.392
2.235 5.674 1.844
0.378 0.816 8.649
Ho Dy Mg
6 1 1
direct
0.750 0.143 0.358
0.491 0.791 0.227
0.225 0.432 0.118
0.509 0.209 0.773
0.775 0.568 0.882
0.250 0.857 0.642
0.000 0.500 0.500
0.000 0.000 0.000
```

---

Entry 2:
Below is DySc2Ga3 after structural relaxation, with properties calculated at the PBE level.

## Properties
total DFT energy (no corrections)	-4.978	eV per atom
ΔE_f	-587	meV per atom
symmetry	P4/mmm (123)
energy relative to the lowest polymorph listed for this composition	0	meV/atom

POSCAR file:
```
DySc2Ga3
1.0
-2.032 -1.991 1.903
1.952 -2.709 -0.750
5.864 1.932 8.283
Dy Ga Sc
1 3 2
direct
0.500 0.500 0.500
0.000 0.000 0.315
0.000 0.000 0.685
0.000 0.000 0.000
0.500 0.500 0.842
0.500 0.500 0.158
```

---

Entry 3:
Below is BaMn3As after structural relaxation, with properties calculated at the PBE level.

## Properties
total DFT energy (no corrections)	-6.409	eV per atom
ΔE_f	407	meV per atom
symmetry	Pm-3m (221)
energy relative to the lowest polymorph listed for this composition	0	meV/atom

POSCAR file:
```
BaMn3As
1.0
-4.533 1.230 -1.194
-1.430 -4.575 0.716
-0.946 1.022 4.642
Mn As Ba
3 1 1
direct
0.500 0.000 0.000
0.000 0.000 0.500
0.000 0.500 0.000
0.000 0.000 0.000
0.500 0.500 0.500
```

---

Entry 4:
Below is Bi3PbAu3 after structural relaxation, with properties calculated at the PBE level.

## Properties
total DFT energy (no corrections)	-3.273	eV per atom
ΔE_f	324	meV per atom
symmetry	Pm-3n (223)
energy relative to the lowest polymorph listed for this composition	315	meV/atom

POSCAR file:
```
Bi3PbAu3
1.0
-4.104 5.772 3.435
1.240 -3.305 7.035
6.601 4.209 0.814
Pb Au Bi
2 6 6
direct
0.500 0.500 0.500
0.000 0.000 0.000
0.250 0.000 0.500
0.000 0.500 0.750
0.500 0.750 0.000
0.500 0.250 0.000
0.750 0.000 0.500
0.000 0.500 0.250
0.250 0.500 0.000
0.500 0.000 0.750
0.000 0.250 0.500
0.000 0.750 0.500
0.750 0.500 0.000
0.500 0.000 0.250
```

---

Entry 5:
Below is PaCoBRu2 after structural relaxation, with properties calculated at the PBE level.

## Properties
total DFT energy (no corrections)	-8.905	eV per atom
ΔE_f	-539	meV per atom
symmetry	P4/mmm (123)

POSCAR file:
```
PaCoBRu2
1.0
4.001 0.000 0.000
0.000 4.203 0.000
0.000 0.000 4.203
Ru Pa B Co
2 1 1 1
direct
0.000 0.500 0.000
0.000 0.000 0.500
0.500 0.500 0.500
0.000 0.000 0.000
0.500 0.000 0.000
```

---

Entry 6:
Below is MgNi2Te after structural relaxation, with properties calculated at the PBE level.

## Properties
total DFT energy (no corrections)	-4.101	eV per atom
symmetry	P4/mmm (123)
energy relative to the lowest polymorph listed for this composition	89	meV/atom

POSCAR file:
```
MgNi2Te
1.0
-1.792 2.697 -0.687
-0.818 -1.292 -2.941
-4.641 -2.477 2.378
Te Ni Mg
1 2 1
direct
0.500 0.500 0.250
0.000 0.000 0.003
0.000 0.000 0.497
0.500 0.500 0.750
```

---

Entry 7:
Below is LaGaAs3 after structural relaxation, with properties calculated at the PBE level.

## Properties
total DFT energy (no corrections)	-4.589	eV per atom
ΔE_f	-209	meV per atom
symmetry	Pm-3m (221)
energy relative to the lowest polymorph listed for this composition	0	meV/atom

POSCAR file:
```
LaGaAs3
1.0
-0.388 2.302 4.370
-1.629 -4.198 2.066
4.663 -1.275 1.085
As Ga La
3 1 1
direct
0.000 0.000 0.500
0.000 0.500 0.000
0.500 0.000 0.000
0.000 0.000 0.000
0.500 0.500 0.500
```

---

Entry 8:
Below is Ba3TlIn after structural relaxation, with properties calculated at the PBE level.

## Properties
total DFT energy (no corrections)	-2.445	eV per atom
ΔE_f	-270	meV per atom
symmetry	C2/c (15)
energy relative to the lowest polymorph listed for this composition	67	meV/atom

POSCAR file:
```
Ba3TlIn
1.0
11.006 -0.154 -0.115
0.422 8.922 -1.334
0.422 1.240 8.935
Tl Ba In
4 12 4
direct
0.638 0.195 0.246
0.862 0.754 0.805
0.138 0.246 0.195
0.362 0.805 0.754
0.414 0.507 0.301
0.839 0.430 0.057
0.586 0.820 0.064
0.086 0.064 0.820
0.914 0.301 0.507
0.914 0.936 0.180
0.086 0.699 0.493
0.661 0.943 0.570
0.586 0.493 0.699
0.414 0.180 0.936
0.339 0.057 0.430
0.161 0.570 0.943
0.750 0.624 0.376
0.750 0.122 0.878
0.250 0.376 0.624
0.250 0.878 0.122
```